[1]
Compound: PmPdAu2
Source: the Open Quantum Materials Database
Functional: GGA-PBE
Structure: optimized geometry

a b c (Å): 4.323 7.658 5.502
angles (deg): 90.00 113.07 90.00
Space group P2_1/m (No. 11)
Unique sites:
Pm: 0.074 0.250 0.146
Pd: 0.220 0.750 0.442
Au: 0.369 0.055 0.737

Computed properties:
VASP energy = -4.834 eV per atom
formation enthalpy at 0 K = -0.72 eV per atom

[2]
Compound: PmPdAu
Source: the Open Quantum Materials Database
Functional: GGA-PBE
Structure: optimized geometry

a b c (Å): 6.798 6.798 6.798
angles (deg): 90.00 90.00 90.00
Space group F-43m (No. 216)
Unique sites:
Pm: 0.000 0.000 0.000
Pd: 0.250 0.250 0.250
Au: 0.250 0.250 0.750

Computed properties:
VASP energy = -4.784 eV per atom
relative energy among the computed polymorphs = 0.305 eV per atom
formation enthalpy at 0 K = -0.39 eV per atom

[3]
Compound: Pm4PdAu3
Source: the Open Quantum Materials Database
Functional: GGA-PBE
Structure: optimized geometry

a b c (Å): 3.887 4.748 11.088
angles (deg): 90.00 90.00 90.00
Space group Pmm2 (No. 25)
Unique sites:
Pm: 0.000 0.000 0.000
Pm: 0.000 0.500 0.268
Pm: 0.500 0.000 0.489
Pm: 0.500 0.500 0.771
Pd: 0.500 0.000 0.218
Au: 0.000 0.000 0.719
Au: 0.000 0.500 0.545
Au: 0.500 0.500 0.049

Computed properties:
VASP energy = -5.080 eV per atom
formation enthalpy at 0 K = -0.84 eV per atom

[4]
Compound: PmPdAu
Source: the Open Quantum Materials Database
Functional: GGA-PBE
Structure: optimized geometry

a b c (Å): 6.633 6.633 6.633
angles (deg): 90.00 90.00 90.00
Space group F-43m (No. 216)
Unique sites:
Pm: 0.000 0.000 0.000
Pd: 0.250 0.250 0.750
Au: 0.000 0.000 0.500

Computed properties:
VASP energy = -5.089 eV per atom
relative energy among the computed polymorphs = 0.000 eV per atom
formation enthalpy at 0 K = -0.69 eV per atom

[5]
Compound: Pr2Pd5Au
Source: the Open Quantum Materials Database
Functional: GGA-PBE
Structure: optimized geometry

a b c (Å): 6.059 6.059 8.278
angles (deg): 90.00 90.00 90.00
Space group I4/mmm (No. 139)
Unique sites:
Pr: 0.000 0.500 0.000
Pd: 0.000 0.000 0.000
Pd: 0.250 0.250 0.250
Au: 0.000 0.000 0.500

Computed properties:
VASP energy = -5.596 eV per atom
formation enthalpy at 0 K = -0.76 eV per atom

[6]
Compound: PrPdAu2
Source: the Open Quantum Materials Database
Functional: GGA-PBE
Structure: optimized geometry

a b c (Å): 4.393 7.622 5.560
angles (deg): 90.00 113.18 90.00
Space group P2_1/m (No. 11)
Unique sites:
Pr: 0.077 0.250 0.152
Pd: 0.215 0.750 0.435
Au: 0.370 0.056 0.737

Computed properties:
VASP energy = -4.836 eV per atom
formation enthalpy at 0 K = -0.71 eV per atom

[7]
Compound: Pr2PdAu2
Source: the Open Quantum Materials Database
Functional: GGA-PBE
Structure: optimized geometry

a b c (Å): 10.822 4.127 11.763
angles (deg): 90.00 111.16 90.00
Space group C2/m (No. 12)
Unique sites:
Pr: 0.009 0.000 0.341
Pr: 0.183 0.000 0.114
Pd: 0.202 0.500 0.309
Au: 0.041 0.500 0.890
Au: 0.148 0.500 0.550

Computed properties:
VASP energy = -5.057 eV per atom
formation enthalpy at 0 K = -0.80 eV per atom

[8]
Compound: Pr3Si4Pd2Au2
Source: the Open Quantum Materials Database
Functional: GGA-PBE
Structure: optimized geometry

a b c (Å): 4.271 4.290 24.722
angles (deg): 90.00 90.00 90.00
Space group Immm (No. 71)
Unique sites:
Pr: 0.000 0.000 0.000
Pr: 0.000 0.500 0.149
Si: 0.000 0.000 0.452
Si: 0.000 0.500 0.301
Pd: 0.000 0.000 0.249
Au: 0.000 0.500 0.402

Computed properties:
VASP energy = -5.676 eV per atom
relative energy among the computed polymorphs = 0.000 eV per atom

[9]
Compound: PrSi2PdAu
Source: the Open Quantum Materials Database
Functional: GGA-PBE
Structure: optimized geometry

a b c (Å): 4.276 4.276 10.216
angles (deg): 90.00 90.00 90.00
Space group I-4m2 (No. 119)
Unique sites:
Pr: 0.000 0.000 0.000
Si: 0.000 0.000 0.384
Pd: 0.000 0.500 0.250
Au: 0.000 0.500 0.750

Computed properties:
VASP energy = -5.603 eV per atom

[10]
Compound: Pr3Si4Pd2Au2
Source: the Open Quantum Materials Database
Functional: GGA-PBE
Structure: optimized geometry

a b c (Å): 4.268 4.288 24.890
angles (deg): 90.00 90.00 90.00
Space group Immm (No. 71)
Unique sites:
Pr: 0.000 0.000 0.000
Pr: 0.000 0.500 0.146
Si: 0.000 0.000 0.452
Si: 0.000 0.500 0.310
Pd: 0.000 0.500 0.406
Au: 0.000 0.000 0.249

Computed properties:
VASP energy = -5.613 eV per atom
relative energy among the computed polymorphs = 0.063 eV per atom

[11]
Compound: PrSm2Si4Pd2Au2
Source: the Open Quantum Materials Database
Functional: GGA-PBE
Structure: optimized geometry

a b c (Å): 4.227 4.262 24.821
angles (deg): 90.00 90.00 90.00
Space group Immm (No. 71)
Unique sites:
Pr: 0.000 0.000 0.000
Sm: 0.000 0.500 0.146
Si: 0.000 0.000 0.452
Si: 0.000 0.500 0.310
Pd: 0.000 0.500 0.405
Au: 0.000 0.000 0.249

Computed properties:
VASP energy = -5.603 eV per atom
relative energy among the computed polymorphs = 0.067 eV per atom

[12]
Compound: PrSm2Si4Pd2Au2
Source: the Open Quantum Materials Database
Functional: GGA-PBE
Structure: optimized geometry

a b c (Å): 4.223 4.263 24.677
angles (deg): 90.00 90.00 90.00
Space group Immm (No. 71)
Unique sites:
Pr: 0.000 0.000 0.000
Sm: 0.000 0.500 0.149
Si: 0.000 0.000 0.452
Si: 0.000 0.500 0.302
Pd: 0.000 0.000 0.250
Au: 0.000 0.500 0.401

Computed properties:
VASP energy = -5.670 eV per atom
relative energy among the computed polymorphs = 0.000 eV per atom

Q: Which of these has the lowest VASP energy?
A: number 8